Entry from OQMD via LeMat-Bulk: crystalline Tb3Mg3In2Ga at its relaxed geometry (PBE).

It has space group P-62m (No. 189), with a = 7.5300 Å, b = 7.5300 Å, c = 4.5540 Å, α = 90.00°, β = 90.00° and γ = 120.00°. The distinct sites, in fractional coordinates, are Tb at (0.0000, 0.5835, 0.0000), Mg at (0.0000, 0.2375, 0.5000), In at (0.3333, 0.6667, 0.5000) and Ga at (0.0000, 0.0000, 0.0000).

The value obtained for the total magnetic moment is 0.01 μB per cell. The total DFT energy (no corrections) is -3.423 eV per atom.